Version 1
## KMgSe3 (PBE-GGA)

Data for an optimized crystal structure of KMgSe3.

a = 5.6895 Å, b = 5.6895 Å, c = 5.6895 Å
α = 90.00°, β = 90.00°, γ = 90.00°
With the nearest neighbours (Å) after each atom.
Space group Pm-3m (No. 221)
One atom of each set of equivalent atoms:
K 0.0000 0.0000 0.0000 (multiplicity 1)  6 Se 2.84
Mg 0.5000 0.5000 0.5000 (multiplicity 1)  12 Se 4.02
Se 0.0000 0.0000 0.5000 (multiplicity 3)  2 K 2.84

Computed properties:
V (Å³ per cell): 184.2

Version 2
## KMgSe3 (PBE-GGA)

Data for an optimized crystal structure of KMgSe3.

a = 5.2038 Å, b = 5.2038 Å, c = 5.2038 Å
α = 90.00°, β = 90.00°, γ = 90.00°
With the nearest neighbours (Å) after each atom.
Space group Pm-3m (No. 221)
One atom of each set of equivalent atoms:
K 0.0000 0.0000 0.0000 (multiplicity 1)  12 Se 3.68
Mg 0.5000 0.5000 0.5000 (multiplicity 1)  6 Se 2.60
Se 0.0000 0.5000 0.5000 (multiplicity 3)  2 Mg 2.60

Computed properties:
V (Å³ per cell): 140.9

Of them, version 2 has the highest stability.

Version 1
## KMgSi (PBE-GGA)

Data for an optimized crystal structure of KMgSi.

a = 7.4203 Å, b = 7.4203 Å, c = 7.4203 Å
α = 90.00°, β = 90.00°, γ = 90.00°
With the nearest neighbours (Å) after each atom.
Space group F-43m (No. 216)
One atom of each set of equivalent atoms:
K 0.0000 0.0000 0.0000 (multiplicity 4)  4 Mg 3.21, 4 Si 3.21
Mg 0.2500 0.2500 0.2500 (multiplicity 4)  4 K 3.21
Si 0.2500 0.2500 0.7500 (multiplicity 4)  4 K 3.21

Computed properties:
V (Å³ per cell): 408.6

Version 2
## KMgSi (PBE-GGA)

Data for an optimized crystal structure of KMgSi.

a = 4.8252 Å, b = 4.8252 Å, c = 4.2410 Å
α = 90.00°, β = 90.00°, γ = 120.00°
With the nearest neighbours (Å) after each atom.
Space group P-6m2 (No. 187)
One atom of each set of equivalent atoms:
K 0.0000 0.0000 0.0000 (multiplicity 1)  6 Mg 3.50, 6 Si 3.50
Mg 0.6667 0.3333 0.5000 (multiplicity 1)  3 Si 2.79
Si 0.3333 0.6667 0.5000 (multiplicity 1)  3 Mg 2.79

Computed properties:
V (Å³ per cell): 85.5

Of them, version 2 has the highest stability.

Version 1
## KMg3Sn3 (PBE-GGA)

Data for an optimized crystal structure of KMg3Sn3.

a = 8.0432 Å, b = 8.0432 Å, c = 8.0432 Å
α = 90.00°, β = 90.00°, γ = 90.00°
With the nearest neighbours (Å) after each atom.
Space group Pm-3n (No. 223)
One atom of each set of equivalent atoms:
K 0.0000 0.0000 0.0000 (multiplicity 2)  12 Sn 4.50, 12 Mg 4.50
Mg 0.0000 0.2500 0.5000 (multiplicity 6)  4 Sn 2.84
Sn 0.0000 0.5000 0.2500 (multiplicity 6)  4 Mg 2.84

Computed properties:
V (Å³ per cell): 520.3

Version 2
## KMg3Sn3 (PBE-GGA)

Data for an optimized crystal structure of KMg3Sn3.

a = 7.1453 Å, b = 7.1453 Å, c = 29.4062 Å
α = 90.00°, β = 90.00°, γ = 120.00°
With the nearest neighbours (Å) after each atom.
Space group R-3 (No. 148, hexagonal axes)
One atom of each set of equivalent atoms:
K 0.0000 0.0000 0.1751 (multiplicity 6)  6 Sn 3.66-3.72
Mg 0.0489 0.2765 0.6949 (multiplicity 18)  4 Sn 3.00-3.29, 5 Mg 3.00-3.16
Sn 0.0391 0.2666 0.5831 (multiplicity 18)  4 Mg 3.00-3.29, 2 Sn 3.09

Computed properties:
V (Å³ per cell): 1300.2

Of them, version 2 has the highest stability.

Version 1
## KMgSn4 (PBE-GGA)

Data for an optimized crystal structure of KMgSn4.

a = 8.9970 Å, b = 8.9970 Å, c = 8.9970 Å
α = 90.00°, β = 90.00°, γ = 90.00°
With the nearest neighbours (Å) after each atom.
Space group F-43m (No. 216)
One atom of each set of equivalent atoms:
K 0.0000 0.0000 0.0000 (multiplicity 4)  12 Sn 3.73, 4 Mg 3.90
Mg 0.2500 0.2500 0.2500 (multiplicity 4)  12 Sn 3.73, 4 K 3.90
Sn 0.1243 0.1243 0.6243 (multiplicity 16)  6 Sn 3.16-3.20

Computed properties:
V (Å³ per cell): 728.3

Version 2
## KMgSn4 (PBE-GGA)

Data for an optimized crystal structure of KMgSn4.

a = 5.2859 Å, b = 5.2859 Å, c = 7.6611 Å
α = 90.00°, β = 90.00°, γ = 120.00°
With the nearest neighbours (Å) after each atom.
Space group P6/mmm (No. 191)
One atom of each set of equivalent atoms:
K 0.0000 0.0000 0.0000 (multiplicity 1)  2 Mg 3.83, 12 Sn 3.84
Mg 0.0000 0.0000 0.5000 (multiplicity 1)  12 Sn 3.40
Sn 0.3333 0.6667 0.3037 (multiplicity 4)  4 Sn 3.01-3.05

Computed properties:
V (Å³ per cell): 185.4

Of them, version 2 has the highest stability.

Version 1
## KMgSn3 (PBE-GGA)

Data for an optimized crystal structure of KMgSn3.

a = 5.5494 Å, b = 5.5494 Å, c = 5.5494 Å
α = 90.00°, β = 90.00°, γ = 90.00°
With the nearest neighbours (Å) after each atom.
Space group Pm-3m (No. 221)
One atom of each set of equivalent atoms:
K 0.0000 0.0000 0.0000 (multiplicity 1)  12 Sn 3.92
Mg 0.5000 0.5000 0.5000 (multiplicity 1)  6 Sn 2.77
Sn 0.0000 0.5000 0.5000 (multiplicity 3)  2 Mg 2.77

Computed properties:
V (Å³ per cell): 170.9

Version 2
## KMgSn3 (PBE-GGA)

Data for an optimized crystal structure of KMgSn3.

a = 7.2568 Å, b = 12.5474 Å, c = 6.8300 Å
α = 90.00°, β = 90.00°, γ = 90.00°
With the nearest neighbours (Å) after each atom.
Space group Cmcm (No. 63)
One atom of each set of equivalent atoms:
K 0.0000 0.1674 0.2500 (multiplicity 4)  12 Sn 3.65-3.81
Mg 0.0000 0.5000 0.0000 (multiplicity 4)  6 Sn 3.03
Sn 0.0000 0.3006 0.7500 (multiplicity 4)  2 Sn 2.92, 2 Mg 3.03
Sn 0.2011 0.0990 0.7500 (multiplicity 8)  2 Sn 2.92, 2 Mg 3.03

Computed properties:
V (Å³ per cell): 621.9

Of them, version 2 has the highest stability.

Version 1
## KMg3Sn2 (PBE-GGA)

Data for an optimized crystal structure of KMg3Sn2.

a = 17.7654 Å, b = 4.8033 Å, c = 9.0757 Å
α = 90.00°, β = 113.60°, γ = 90.00°
With the nearest neighbours (Å) after each atom.
Space group C2/m (No. 12)
One atom of each set of equivalent atoms:
K 0.1535 0.0000 0.0655 (multiplicity 4)  7 Sn 3.70-3.87, 6 Mg 3.96-4.07
Mg 0.0361 0.0000 0.3570 (multiplicity 4)  3 Sn 2.89-2.97
Mg 0.0922 0.5000 0.6778 (multiplicity 4)  3 Sn 2.90-2.91, 3 Mg 3.12-3.24
Mg 0.1832 0.5000 0.4473 (multiplicity 4)  4 Sn 2.92-3.13, 3 Mg 3.12-3.24
Sn 0.0249 0.5000 0.1726 (multiplicity 4)  4 Mg 2.89-2.92, 1 Sn 2.90
Sn 0.1821 0.0000 0.6671 (multiplicity 4)  6 Mg 2.91-3.13

Computed properties:
V (Å³ per cell): 709.7

Version 2
## KMg3Sn2 (PBE-GGA)

Data for an optimized crystal structure of KMg3Sn2.

a = 5.0076 Å, b = 8.7800 Å, c = 15.2038 Å
α = 90.00°, β = 90.00°, γ = 90.00°
With the nearest neighbours (Å) after each atom.
Space group Immm (No. 71)
One atom of each set of equivalent atoms:
K 0.0000 0.0000 0.1327 (multiplicity 4)  8 Mg 3.45-3.69, 6 Sn 3.53-3.74
Mg 0.0000 0.1985 0.3283 (multiplicity 8)  3 Sn 2.87-3.06
Mg 0.0000 0.3327 0.0000 (multiplicity 4)  4 Sn 2.90-3.17, 1 Mg 2.94
Sn 0.0000 0.3337 0.5000 (multiplicity 4)  4 Mg 2.87-2.90, 1 Sn 2.92
Sn 0.0000 0.5000 0.1847 (multiplicity 4)  6 Mg 3.06-3.17

Computed properties:
V (Å³ per cell): 668.5

Of them, version 1 has the highest stability.